Record 1
Entry from the Alexandria database: a geometry-optimized LiAuSe2 structure (PBEsol).

Output
Crystal system = tetragonal
E_tot = -0.1291 Ha/atom
Fermi-level density of states = 0.533 states/eV/atom

Cell: 4.403 4.403 7.541 Å, 90.00 90.00 90.00°
Sites, in units of the cell vectors:
Li 0.000 0.000 0.000
Li 0.500 0.500 0.500
Au 0.000 0.000 0.500
Au 0.500 0.500 0.000
Se 0.000 0.500 0.250
Se 0.000 0.500 0.750
Se 0.500 0.000 0.250
Se 0.500 0.000 0.750

=====

Record 2
Entry from the Alexandria database: a geometry-optimized AlSiPt structure (PBEsol).

Output
Crystal system = tetragonal
E_tot = -0.2188 Ha/atom
Fermi-level density of states = 0.376 states/eV/atom

Cell: 2.785 2.785 11.196 Å, 90.00 90.00 90.00°
Sites, in units of the cell vectors:
Al 0.000 0.000 0.000
Al 0.500 0.500 0.500
Si 0.000 0.000 0.675
Si 0.500 0.500 0.175
Pt 0.000 0.000 0.339
Pt 0.500 0.500 0.839

=====

Record 3
Entry from the Alexandria database: a geometry-optimized Mn2CoIr structure (PBEsol).

Output
ΔE_f = -0.132 eV per formula unit
Crystal system = orthorhombic
E_tot = -0.3419 Ha/atom
Fermi-level density of states = 1.118 states/eV/atom

Cell: 2.558 3.517 5.033 Å, 90.00 90.00 90.00°
Sites, in units of the cell vectors:
Mn 0.000 0.000 0.231
Mn 0.000 0.000 0.769
Co 0.500 0.500 0.000
Ir 0.500 0.500 0.500

=====

Record 4
Entry from the Alexandria database: a geometry-optimized PRhIN2 structure (PBEsol).

Output
Crystal system = tetragonal
E_tot = -0.1950 Ha/atom
Fermi-level density of states = 0.617 states/eV/atom

Cell: 3.728 3.728 7.377 Å, 90.00 90.00 90.00°
Sites, in units of the cell vectors:
P 0.000 0.000 0.000
Rh 0.500 0.500 0.500
I 0.500 0.500 0.000
N 0.000 0.500 0.500
N 0.500 0.000 0.500